DFT (PBE-GGA) results for an optimized crystal structure of ReCl.

## Properties
Its symmetry is P2_12_12_1 (19). The calculation puts the energy relative to the elements, uncorrected at 0.16 eV per atom. For the final energy, the calculation gives -6.991 eV/atom. The calculation puts the energy above the most stable polymorph in this dataset at 268 meV per atom.

Unit cell a=9.087 b=3.314 c=10.948 alpha=90.00 beta=90.00 gamma=90.00
Atoms (fractional coordinates):
Re (0.608, 0.750, 0.445)
Re (0.108, 0.750, 0.555)
Re (0.392, 0.250, 0.055)
Re (0.892, 0.250, 0.945)
Re (0.607, 0.259, 0.289)
Re (0.107, 0.241, 0.711)
Re (0.393, 0.759, 0.211)
Re (0.893, 0.741, 0.789)
Cl (0.376, 0.646, 0.552)
Cl (0.876, 0.854, 0.448)
Cl (0.624, 0.146, 0.948)
Cl (0.124, 0.354, 0.052)
Cl (0.172, 0.813, 0.323)
Cl (0.672, 0.687, 0.677)
Cl (0.828, 0.313, 0.177)
Cl (0.328, 0.187, 0.823)